Density functional theory data (PBEsol) for a relaxed CaIn3Re crystal.

Cell: 5.4980 5.4980 5.4980 Å, 90.00 90.00 90.00°
Last column: magnetic moment on the atom in μB.
Fractional positions:
1 In 0.0000 0.0000 0.5000  -0.03
2 In 0.5000 0.0000 0.0000  -0.03
3 Re 0.5000 0.5000 0.5000  3.58
4 Ca 0.0000 0.0000 0.0000  -0.04
5 In 0.0000 0.5000 0.0000  -0.03

## Properties
**Total energy**: -14.673 eV for the cell shown